Below is Ac4TmZn5 after structural relaxation, with properties calculated at the PBE level.

Geometry as POSCAR:
```
Ac4TmZn5
1.0
3.8326 0.0000 0.0000
0.0000 3.8326 0.0000
0.0000 0.0000 19.1568
Ac Tm Zn
4 1 5
Direct
0.0000 0.0000 0.1035
0.0000 0.0000 0.3117
0.0000 0.0000 0.6883
0.0000 0.0000 0.8965
0.0000 0.0000 0.5000
0.5000 0.5000 0.0000
0.5000 0.5000 0.2064
0.5000 0.5000 0.4227
0.5000 0.5000 0.5773
0.5000 0.5000 0.7936
```

Calculated values
For the volume, the calculation gives 28.1 Å³/atom. As for the magnetization: 0.00 μB per formula unit. The formation energy is -244 meV/atom.

---

Below is AcTm5Zn6 after structural relaxation, with properties calculated at the PBE level.

Geometry as POSCAR:
```
AcTm5Zn6
1.0
-2.5272 3.6008 7.6107
2.5272 -3.6008 7.6107
2.5272 3.6008 -7.6107
Ac Tm Zn
1 5 6
Direct
0.0000 0.0000 0.0000
0.1647 0.6647 0.5000
0.3306 0.3306 0.0000
0.5000 0.0000 0.5000
0.6694 0.6694 0.0000
0.8353 0.3353 0.5000
0.0924 0.8262 0.2662
0.2795 0.5000 0.7795
0.4400 0.1738 0.2662
0.5600 0.8262 0.7338
0.7205 0.5000 0.2205
0.9076 0.1738 0.7338
```

Calculated values
For the volume, the calculation gives 23.1 Å³/atom. As for the magnetization: 0.00 μB per formula unit. The formation energy is -294 meV/atom.

---

Below is AcTm2Zn after structural relaxation, with properties calculated at the PBE level.

Geometry as POSCAR:
```
AcTm2Zn
1.0
4.8273 0.0000 0.0000
0.0000 4.8273 0.0000
0.0000 0.0000 5.0573
Ac Tm Zn
1 2 1
Direct
0.0000 0.0000 0.0000
0.0000 0.5000 0.5000
0.5000 0.0000 0.5000
0.5000 0.5000 0.0000
```

Calculated values
For the volume, the calculation gives 29.5 Å³/atom. As for the magnetization: 0.00 μB per formula unit. The formation energy is 60 meV/atom.

---

Below is Ac2TmZn9 after structural relaxation, with properties calculated at the PBE level.

Geometry as POSCAR:
```
Ac2TmZn9
1.0
2.8113 1.6231 8.9628
-2.8113 1.6231 8.9628
0.0000 -3.2462 8.9628
Ac Tm Zn
2 1 9
Direct
0.1396 0.1396 0.1396
0.8604 0.8604 0.8604
0.0000 0.0000 0.0000
0.0738 0.5778 0.5778
0.3345 0.3345 0.3345
0.4222 0.4222 0.9262
0.4222 0.9262 0.4222
0.5000 0.5000 0.5000
0.5778 0.0738 0.5778
0.5778 0.5778 0.0738
0.6655 0.6655 0.6655
0.9262 0.4222 0.4222
```

Calculated values
For the volume, the calculation gives 20.4 Å³/atom. As for the magnetization: 0.00 μB per formula unit. The formation energy is -202 meV/atom.

---

Below is AcTm2Zn after structural relaxation, with properties calculated at the PBE level.

Geometry as POSCAR:
```
AcTm2Zn
1.0
1.8490 1.0675 10.3587
-1.8490 1.0675 10.3587
0.0000 -2.1351 10.3587
Ac Tm Zn
1 2 1
Direct
0.0000 0.0000 0.0000
0.2340 0.2340 0.2340
0.4344 0.4344 0.4344
0.8346 0.8346 0.8346
```

Calculated values
For the volume, the calculation gives 30.7 Å³/atom. As for the magnetization: 0.00 μB per formula unit. The formation energy is -6 meV/atom.

---

Below is Ac3TmZn4 after structural relaxation, with properties calculated at the PBE level.

Geometry as POSCAR:
```
Ac3TmZn4
1.0
3.8093 0.0000 0.0000
0.0000 3.8093 0.0000
0.0000 0.0000 15.2699
Ac Tm Zn
3 1 4
Direct
0.0000 0.0000 0.0000
0.0000 0.0000 0.2626
0.0000 0.0000 0.7374
0.0000 0.0000 0.5000
0.5000 0.5000 0.1295
0.5000 0.5000 0.4023
0.5000 0.5000 0.5977
0.5000 0.5000 0.8705
```

Calculated values
For the volume, the calculation gives 27.7 Å³/atom. As for the magnetization: 0.00 μB per formula unit. The formation energy is -244 meV/atom.